## CuPIr2 (PBE-GGA)

Data for a geometry-optimized CuPIr2 structure.

Results
* space group: Cmm2
* ΔE_f: 0.2855 eV per atom

Lattice parameters (Å, degrees): 2.7542 2.7542 8.6816 90.00 90.00 120.92
Closest atoms and distances in Å follow each position.
Atoms (fractional coordinates):
Cu 0.0000 0.0000 0.0000  2 P 2.50, 2 Ir 2.59, 6 Cu 2.72-2.75
P 0.5000 0.5000 0.2415  2 Ir 2.42, 2 Cu 2.50
Ir 0.0000 0.0000 0.4729  2 P 2.42
Ir 0.5000 0.5000 0.7463  2 Cu 2.59, 8 Ir 2.72-2.75


## CuP3Ir (PBE-GGA)

Data for a geometry-optimized CuP3Ir structure.

Results
* space group: Pm-3m
* ΔE_f: 0.9608 eV per atom

Lattice parameters (Å, degrees): 4.6232 4.6232 4.6232 90.00 90.00 90.00
Closest atoms and distances in Å follow each position.
Atoms (fractional coordinates):
Cu 0.0000 0.0000 0.0000  12 P 3.27
P 0.0000 0.5000 0.5000  2 Ir 2.31
P 0.5000 0.0000 0.5000  2 Ir 2.31
P 0.5000 0.5000 0.0000  2 Ir 2.31
Ir 0.5000 0.5000 0.5000  6 P 2.31


## Cu2PIr (PBE-GGA)

Data for a geometry-optimized Cu2PIr structure.

Results
* space group: Cmmm
* ΔE_f: 0.2559 eV per atom

Lattice parameters (Å, degrees): 2.7316 2.7316 8.4701 90.00 90.00 121.24
Closest atoms and distances in Å follow each position.
Atoms (fractional coordinates):
Cu 0.0000 0.0000 0.2390  2 P 2.43, 2 Ir 2.59, 2 Cu 2.68
Cu 0.0000 0.0000 0.7610  2 P 2.43, 2 Ir 2.59, 2 Cu 2.68
P 0.5000 0.5000 0.0000  4 Cu 2.43, 2 P 2.68
Ir 0.5000 0.5000 0.5000  4 Cu 2.59, 6 Ir 2.68-2.73